Density functional theory data (PBE-GGA) for an optimized crystal structure of TbTmTiN3.

abc: 3.260 6.483 9.120
angles: 92.55 90.00 90.00
Fractional positions:
1 Tb 0.750 0.822 0.764
2 Tb 0.250 0.178 0.236
3 Tm 0.250 0.654 0.117
4 Tm 0.750 0.346 0.883
5 Ti 0.250 0.140 0.575
6 Ti 0.750 0.860 0.425
7 N 0.250 0.817 0.543
8 N 0.750 0.877 0.211
9 N 0.750 0.388 0.128
10 N 0.750 0.183 0.457
11 N 0.250 0.612 0.872
12 N 0.250 0.123 0.789

Uncorrected formation energy ... -1.39 eV per atom
Space-group type ... P2_1/m (11)
Raw total energy ... -8.390 eV/atom
D(E_F) ... 1.21 states/eV/f.u.
Size of the total moment ... 0.000 Bohr magnetons per cell